Material: HoTiBe2
Method: DFT, GGA-PBE
State: relaxed

The structure in POSCAR format:
```
HoTiBe2
1.0
-1.865 1.868 -1.744
1.591 -0.841 -2.602
-3.965 -4.780 -0.879
Be Ho Ti
2 1 1
direct
0.000 0.000 0.806 Be
0.000 0.000 0.194 Be
0.500 0.500 0.500 Ho
0.500 0.500 0.000 Ti
```

Properties
E_form: 0.011 eV per atom
calculated total energy: -4.970 eV/atom